Entry 1:
{"formula": "AcLaNd2", "functional": "PBE", "state": "relaxed", "lattice_angstrom": [[0.000, 4.250, 4.250], [4.250, 0.000, 4.250], [4.250, 4.250, 0.000]], "species": ["Ac", "La", "Nd", "Nd"], "fractional_positions": [[0.000, 0.000, 0.000], [0.500, 0.500, 0.500], [0.250, 0.250, 0.250], [0.750, 0.750, 0.750]], "ef_mev_per_atom": 121}



Entry 2:
{"formula": "La7Tl2Rh2", "functional": "PBE", "state": "relaxed", "lattice_angstrom": [[4.210, -5.842, 0.000], [4.210, 5.842, 0.000], [0.000, 0.000, 7.380]], "species": ["La", "La", "La", "La", "La", "La", "La", "Tl", "Tl", "Rh", "Rh"], "fractional_positions": [[0.000, 0.000, 0.000], [0.000, 0.500, 0.252], [0.000, 0.500, 0.748], [0.500, 0.000, 0.252], [0.500, 0.000, 0.748], [0.500, 0.500, 0.238], [0.500, 0.500, 0.762], [0.176, 0.176, 0.500], [0.824, 0.824, 0.500], [0.285, 0.715, 0.000], [0.715, 0.285, 0.000]], "ef_mev_per_atom": -395}



Entry 3:
{"formula": "BaPt2Br", "functional": "PBE", "state": "relaxed", "lattice_angstrom": [[-2.151, 2.967, 4.314], [2.151, -2.967, 4.314], [2.151, 2.967, -4.314]], "species": ["Ba", "Pt", "Pt", "Br"], "fractional_positions": [[0.000, 0.000, 0.000], [0.540, 0.540, 0.000], [0.683, 0.183, 0.500], [0.303, 0.803, 0.500]], "e_form_raw_mev_per_atom": -441}



Entry 4:
{"formula": "TbMg2AlAg2", "functional": "PBE", "state": "relaxed", "lattice_angstrom": [[-2.595, 2.595, 5.517], [2.595, -2.595, 5.517], [2.595, 2.595, -5.517]], "species": ["Tb", "Mg", "Mg", "Al", "Ag", "Ag"], "fractional_positions": [[0.000, 0.000, 0.000], [0.250, 0.750, 0.500], [0.750, 0.250, 0.500], [0.500, 0.500, 0.000], [0.276, 0.276, 0.000], [0.724, 0.724, 0.000]], "ef_mev_per_atom": 118}



Entry 5:
{"formula": "Na4TlRh3O8", "functional": "PBE", "state": "relaxed", "lattice_angstrom": [[3.240, 1.871, 5.275], [-3.240, 1.871, 5.275], [0.000, -3.742, 5.275]], "species": ["Na", "Na", "Na", "Na", "Tl", "Rh", "Rh", "Rh", "O", "O", "O", "O", "O", "O", "O", "O"], "fractional_positions": [[0.000, 0.000, 0.000], [0.000, 0.500, 0.500], [0.500, 0.000, 0.500], [0.500, 0.500, 0.000], [0.500, 0.500, 0.500], [0.000, 0.000, 0.500], [0.000, 0.500, 0.000], [0.500, 0.000, 0.000], [0.209, 0.749, 0.749], [0.231, 0.231, 0.231], [0.251, 0.251, 0.791], [0.251, 0.791, 0.251], [0.749, 0.209, 0.749], [0.749, 0.749, 0.209], [0.769, 0.769, 0.769], [0.791, 0.251, 0.251]], "e_form_raw_mev_per_atom": -1087}



Entry 6:
{"formula": "ThSb2F11", "functional": "PBE", "state": "relaxed", "lattice_angstrom": [[-4.104, 5.161, 5.585], [4.104, -5.161, 5.585], [4.104, 5.161, -5.585]], "species": ["Th", "Th", "Sb", "Sb", "Sb", "Sb", "F", "F", "F", "F", "F", "F", "F", "F", "F", "F", "F", "F", "F", "F", "F", "F", "F", "F", "F", "F", "F", "F"], "fractional_positions": [[0.250, 0.250, 0.000], [0.750, 0.750, 0.000], [0.180, 0.644, 0.823], [0.320, 0.144, 0.464], [0.680, 0.856, 0.536], [0.820, 0.356, 0.177], [0.000, 0.500, 0.500], [0.036, 0.954, 0.274], [0.061, 0.354, 0.150], [0.180, 0.454, 0.918], [0.204, 0.911, 0.850], [0.224, 0.357, 0.580], [0.276, 0.857, 0.133], [0.296, 0.146, 0.707], [0.320, 0.238, 0.274], [0.439, 0.589, 0.293], [0.464, 0.738, 0.918], [0.500, 0.000, 0.500], [0.536, 0.262, 0.082], [0.561, 0.411, 0.707], [0.680, 0.762, 0.726], [0.704, 0.854, 0.293], [0.724, 0.143, 0.867], [0.776, 0.643, 0.420], [0.796, 0.089, 0.150], [0.820, 0.546, 0.082], [0.939, 0.646, 0.850], [0.964, 0.046, 0.726]], "e_form_raw_mev_per_atom": -2894}



Entry 7:
{"formula": "NaSnSeBr", "functional": "PBE", "state": "relaxed", "lattice_angstrom": [[2.117, 1.222, 8.714], [-2.117, 1.222, 8.714], [0.000, -2.444, 8.714]], "species": ["Na", "Sn", "Se", "Br"], "fractional_positions": [[0.000, 0.000, 0.000], [0.513, 0.513, 0.513], [0.237, 0.237, 0.237], [0.386, 0.386, 0.386]], "e_form_raw_mev_per_atom": -829}



Entry 8:
{"formula": "In5Pb3", "functional": "PBE", "state": "relaxed", "lattice_angstrom": [[3.719, 0.000, 0.000], [0.000, 3.719, 0.000], [0.000, 0.000, 16.764]], "species": ["In", "In", "In", "In", "In", "Pb", "Pb", "Pb"], "fractional_positions": [[0.000, 0.000, 0.000], [0.000, 0.000, 0.255], [0.000, 0.000, 0.745], [0.500, 0.500, 0.373], [0.500, 0.500, 0.627], [0.000, 0.000, 0.500], [0.500, 0.500, 0.127], [0.500, 0.500, 0.873]], "ef_mev_per_atom": 36}